The following is a PBE calculation of an optimized crystal structure of BaCaPd2, from Alexandria via LeMat-Bulk.

For the energy relative to the lowest polymorph listed for this composition, the calculation gives 92 meV per atom. For the energy relative to the elements, the calculation gives -10.987 kcal/mol of atoms.

The structure belongs to space group Fm-3m (No. 225); the cell edges are 7.4891, 7.4891 and 7.4891 Å and the angles 90.00°, 90.00° and 90.00°. Symmetry generates all atoms from Ba at (0.0000, 0.0000, 0.0000), Ca at (0.0000, 0.0000, 0.5000) and Pd at (0.2500, 0.2500, 0.2500).


The following is a PBE calculation of an optimized crystal structure of InAg3P, from Alexandria via LeMat-Bulk.

For the energy relative to the lowest polymorph listed for this composition, the calculation gives 0 meV per atom. For the energy relative to the elements, the calculation gives 4.821 kcal/mol of atoms.

The structure belongs to space group Pm-3m (No. 221); the cell edges are 4.8690, 4.8690 and 4.8690 Å and the angles 90.00°, 90.00° and 90.00°. Symmetry generates all atoms from In at (0.0000, 0.0000, 0.0000), Ag at (0.0000, 0.5000, 0.5000) and P at (0.5000, 0.5000, 0.5000).


The following is a PBE calculation of an optimized crystal structure of Ga3SnPd, from Alexandria via LeMat-Bulk.

For the energy relative to the lowest polymorph listed for this composition, the calculation gives 234 meV per atom. For the energy relative to the elements, the calculation gives -0.292 kcal/mol of atoms.

The structure belongs to space group Pm-3m (No. 221); the cell edges are 4.8719, 4.8719 and 4.8719 Å and the angles 90.00°, 90.00° and 90.00°. Symmetry generates all atoms from Ga at (0.0000, 0.0000, 0.5000), Sn at (0.5000, 0.5000, 0.5000) and Pd at (0.0000, 0.0000, 0.0000).


The following is a PBE calculation of an optimized crystal structure of CsNpSn3, from Alexandria via LeMat-Bulk.

For the energy relative to the elements, the calculation gives 9.455 kcal/mol of atoms.

The structure belongs to space group Pm-3m (No. 221); the cell edges are 5.9453, 5.9453 and 5.9453 Å and the angles 90.00°, 90.00° and 90.00°. Symmetry generates all atoms from Cs at (0.0000, 0.0000, 0.0000), Np at (0.5000, 0.5000, 0.5000) and Sn at (0.0000, 0.5000, 0.5000).


The following is a PBE calculation of an optimized crystal structure of LaMg2Cr, from Alexandria via LeMat-Bulk.

For the energy relative to the elements, the calculation gives 6.848 kcal/mol of atoms.

The structure belongs to space group Amm2 (No. 38); the cell edges are 4.8103, 3.3103 and 12.6439 Å and the angles 90.00°, 90.00° and 90.00°. Symmetry generates all atoms from La at (0.0000, 0.0000, 0.0000), Mg at (0.0000, 0.0000, 0.2641), Mg at (0.5000, 0.0000, 0.6713) and Cr at (0.5000, 0.0000, 0.3895).


The following is a PBE calculation of an optimized crystal structure of HgMo3Ir, from Alexandria via LeMat-Bulk.

For the energy relative to the lowest polymorph listed for this composition, the calculation gives 1391 meV per atom. For the energy relative to the elements, the calculation gives 66.868 kcal/mol of atoms.

The structure belongs to space group Pm-3m (No. 221); the cell edges are 4.8249, 4.8249 and 4.8249 Å and the angles 90.00°, 90.00° and 90.00°. Symmetry generates all atoms from Hg at (0.0000, 0.0000, 0.0000), Mo at (0.0000, 0.0000, 0.5000) and Ir at (0.5000, 0.5000, 0.5000).


Please write out number 2 again, unchanged.
The following is a PBE calculation of an optimized crystal structure of InAg3P, from Alexandria via LeMat-Bulk.

For the energy relative to the lowest polymorph listed for this composition, the calculation gives 0 meV per atom. For the energy relative to the elements, the calculation gives 4.821 kcal/mol of atoms.

The structure belongs to space group Pm-3m (No. 221); the cell edges are 4.8690, 4.8690 and 4.8690 Å and the angles 90.00°, 90.00° and 90.00°. Symmetry generates all atoms from In at (0.0000, 0.0000, 0.0000), Ag at (0.0000, 0.5000, 0.5000) and P at (0.5000, 0.5000, 0.5000).